1.
# DyErI2 (GGA-PBE, optimized geometry)
data_DyErI2
_cell_length_a 3.8247
_cell_length_b 3.8247
_cell_length_c 10.8449
_cell_angle_alpha 79.84
_cell_angle_beta 79.84
_cell_angle_gamma 60.00
_space_group_name_H-M_alt 'P 1'
_space_group_IT_number 1
loop_
_space_group_symop_operation_xyz
'x,y,z'
loop_
_atom_site_label
_atom_site_fract_x
_atom_site_fract_y
_atom_site_fract_z
Er1 0.0000 0.0000 0.0000
I1 0.9029 0.9029 0.2913
I2 0.0971 0.0971 0.7087
Dy1 0.5000 0.5000 0.5000
# Density of states at the Fermi level (states/eV/cell): 2.9
# Formation energy from raw total energies (eV per formula unit): -2.4
# Space group: No. 166
# Total moment (μB/cell): 0.0


2.
# SbNCl3 (GGA-PBE, optimized geometry)
data_SbNCl3
_cell_length_a 4.5367
_cell_length_b 4.5367
_cell_length_c 4.5367
_cell_angle_alpha 90.00
_cell_angle_beta 90.00
_cell_angle_gamma 90.00
_space_group_name_H-M_alt 'P 1'
_space_group_IT_number 1
loop_
_space_group_symop_operation_xyz
'x,y,z'
loop_
_atom_site_label
_atom_site_fract_x
_atom_site_fract_y
_atom_site_fract_z
Sb1 0.5000 0.5000 0.5000
Cl1 0.5000 0.0000 0.0000
Cl2 0.0000 0.0000 0.5000
Cl3 0.0000 0.5000 0.0000
N1 0.0000 0.0000 0.0000
# Density of states at the Fermi level (states/eV/cell): 3.1
# Formation energy from raw total energies (eV per formula unit): 4.5
# Space group: No. 221
# Total moment (μB/cell): 0.0


3.
# TaReAu2 (GGA-PBE, optimized geometry)
data_TaReAu2
_cell_length_a 4.9590
_cell_length_b 4.9590
_cell_length_c 5.1744
_cell_angle_alpha 82.70
_cell_angle_beta 82.70
_cell_angle_gamma 32.44
_space_group_name_H-M_alt 'P 1'
_space_group_IT_number 1
loop_
_space_group_symop_operation_xyz
'x,y,z'
loop_
_atom_site_label
_atom_site_fract_x
_atom_site_fract_y
_atom_site_fract_z
Re1 0.4969 0.4969 0.4943
Au1 0.9991 0.9991 0.9958
Au2 0.7537 0.7537 0.7519
Ta1 0.2503 0.2503 0.2581
# Density of states at the Fermi level (states/eV/cell): 2.2
# Energy (eV per atom): -7.506
# Space group: No. 8
# Total moment (μB/cell): 0.0


4.
# LaTbTm2 (GGA-PBE, optimized geometry)
data_LaTbTm2
_cell_length_a 3.5781
_cell_length_b 3.5781
_cell_length_c 11.7321
_cell_angle_alpha 81.23
_cell_angle_beta 81.23
_cell_angle_gamma 60.00
_space_group_name_H-M_alt 'P 1'
_space_group_IT_number 1
loop_
_space_group_symop_operation_xyz
'x,y,z'
loop_
_atom_site_label
_atom_site_fract_x
_atom_site_fract_y
_atom_site_fract_z
Tm1 0.7517 0.7517 0.7449
Tm2 0.2483 0.2483 0.2551
Tb1 0.5000 0.5000 0.5000
La1 0.0000 0.0000 0.0000
# Density of states at the Fermi level (states/eV/cell): 5.0
# Energy (eV per atom): -4.601
# Space group: No. 166
# Total moment (μB/cell): 0.0


Please write out number 2 again, unchanged.
# SbNCl3 (GGA-PBE, optimized geometry)
data_SbNCl3
_cell_length_a 4.5367
_cell_length_b 4.5367
_cell_length_c 4.5367
_cell_angle_alpha 90.00
_cell_angle_beta 90.00
_cell_angle_gamma 90.00
_space_group_name_H-M_alt 'P 1'
_space_group_IT_number 1
loop_
_space_group_symop_operation_xyz
'x,y,z'
loop_
_atom_site_label
_atom_site_fract_x
_atom_site_fract_y
_atom_site_fract_z
Sb1 0.5000 0.5000 0.5000
Cl1 0.5000 0.0000 0.0000
Cl2 0.0000 0.0000 0.5000
Cl3 0.0000 0.5000 0.0000
N1 0.0000 0.0000 0.0000
# Density of states at the Fermi level (states/eV/cell): 3.1
# Formation energy from raw total energies (eV per formula unit): 4.5
# Space group: No. 221
# Total moment (μB/cell): 0.0